First-principles (meta-GGA SCAN) data for SrCr3Pd at its PBEsol-relaxed geometry, as listed in Alexandria.

Properties
SG   Pm-3m, No. 221
E   -1.5765 Ry/atom

Lattice parameters (Å, degrees): 4.9269 4.9269 4.9269 90.00 90.00 90.00
Closest atoms and distances in Å follow each position.
Positions (direct):
Sr 0.0000 0.0000 0.0000  12 Cr 3.48
Cr 0.0000 0.5000 0.5000  2 Pd 2.46
Cr 0.5000 0.0000 0.5000  2 Pd 2.46
Cr 0.5000 0.5000 0.0000  2 Pd 2.46
Pd 0.5000 0.5000 0.5000  6 Cr 2.46


First-principles (meta-GGA SCAN) data for KAl2S at its PBEsol-relaxed geometry, as listed in Alexandria.

Properties
SG   I-42d, No. 122
E   -0.6207 Ry/atom
Raw formation energy   -1.9 kcal/mol of atoms

Lattice parameters (Å, degrees): 6.3890 6.3890 6.3890 102.32 102.32 124.98
Closest atoms and distances in Å follow each position.
Positions (direct):
K 0.0000 0.0000 0.0000  2 S 2.95, 4 Al 3.29
K 0.7500 0.2500 0.5000  2 S 2.95, 4 Al 3.29
Al 0.1876 0.6250 0.0626  2 S 2.61
Al 0.3750 0.4376 0.5626  2 S 2.61
Al 0.5624 0.1250 0.9374  2 S 2.61
Al 0.8750 0.8124 0.4374  2 S 2.61
S 0.2500 0.7500 0.5000  4 Al 2.61
S 0.5000 0.5000 0.0000  4 Al 2.61


First-principles (meta-GGA SCAN) data for KSnSb2Te at its PBEsol-relaxed geometry, as listed in Alexandria.

Properties
SG   P4/mmm, No. 123
E   -2.2786 Ry/atom
Raw formation energy   4.7 kcal/mol of atoms

Lattice parameters (Å, degrees): 5.6621 5.6621 5.8459 90.00 90.00 90.00
Closest atoms and distances in Å follow each position.
Positions (direct):
K 0.0000 0.0000 0.0000  4 Te 4.00, 8 Sb 4.07
Sn 0.5000 0.5000 0.5000  4 Sb 2.83, 2 Te 2.92
Sb 0.0000 0.5000 0.5000  2 Sn 2.83
Sb 0.5000 0.0000 0.5000  2 Sn 2.83
Te 0.5000 0.5000 0.0000  2 Sn 2.92


First-principles (meta-GGA SCAN) data for Cu6PbO8 at its PBEsol-relaxed geometry, as listed in Alexandria.

Properties
SG   Fm-3m, No. 225
E   -1.1185 Ry/atom
Raw formation energy   -17.6 kcal/mol of atoms

Lattice parameters (Å, degrees): 6.5070 6.5070 6.5070 60.00 60.00 60.00
Closest atoms and distances in Å follow each position.
Positions (direct):
Cu 0.0000 0.0000 0.5000  4 O 1.91
Cu 0.0000 0.5000 0.0000  4 O 1.91
Cu 0.0000 0.5000 0.5000  4 O 1.91
Cu 0.5000 0.0000 0.0000  4 O 1.91
Cu 0.5000 0.0000 0.5000  4 O 1.91
Cu 0.5000 0.5000 0.0000  4 O 1.91
Pb 0.0000 0.0000 0.0000  8 O 2.30
O 0.1443 0.1443 0.1443  3 Cu 1.91
O 0.1443 0.1443 0.5670  3 Cu 1.91
O 0.1443 0.5670 0.1443  3 Cu 1.91
O 0.4330 0.8557 0.8557  3 Cu 1.91
O 0.5670 0.1443 0.1443  3 Cu 1.91
O 0.8557 0.4330 0.8557  3 Cu 1.91
O 0.8557 0.8557 0.4330  3 Cu 1.91
O 0.8557 0.8557 0.8557  3 Cu 1.91


First-principles (meta-GGA SCAN) data for SbRh3Au at its PBEsol-relaxed geometry, as listed in Alexandria.

Properties
SG   Pm-3m, No. 221
E   -2.9743 Ry/atom
Raw formation energy   24.9 kcal/mol of atoms

Lattice parameters (Å, degrees): 4.7216 4.7216 4.7216 90.00 90.00 90.00
Closest atoms and distances in Å follow each position.
Positions (direct):
Sb 0.0000 0.0000 0.0000  6 Rh 2.36
Rh 0.0000 0.0000 0.5000  2 Sb 2.36
Rh 0.0000 0.5000 0.0000  2 Sb 2.36
Rh 0.5000 0.0000 0.0000  2 Sb 2.36
Au 0.5000 0.5000 0.5000  12 Rh 3.34


First-principles (meta-GGA SCAN) data for Al2Cu3Ni3 at its PBEsol-relaxed geometry, as listed in Alexandria.

Properties
SG   P-1, No. 2
E   -1.0331 Ry/atom

Lattice parameters (Å, degrees): 5.0242 5.7305 6.7420 89.64 74.99 76.32
Closest atoms and distances in Å follow each position.
Positions (direct):
Al 0.0649 0.2077 0.0600  6 Ni 2.41-2.53, 4 Cu 2.49-2.57, 1 Al 2.70
Al 0.3251 0.9310 0.3126  5 Ni 2.43-2.51, 6 Cu 2.50-2.59, 1 Al 2.70
Al 0.6749 0.0690 0.6874  5 Ni 2.43-2.51, 6 Cu 2.50-2.59, 1 Al 2.70
Al 0.9351 0.7923 0.9400  6 Ni 2.41-2.53, 4 Cu 2.49-2.57, 1 Al 2.70
Cu 0.1773 0.0651 0.6899  3 Cu 2.48-2.53, 5 Al 2.50-2.56, 4 Ni 2.55-2.60
Cu 0.1949 0.5587 0.1897  7 Ni 2.47-2.55, 2 Cu 2.48-2.53, 3 Al 2.49-2.57
Cu 0.4361 0.3155 0.4374  6 Ni 2.46-2.53, 4 Cu 2.52-2.56, 2 Al 2.55-2.59
Cu 0.5639 0.6845 0.5626  6 Ni 2.46-2.53, 4 Cu 2.52-2.56, 2 Al 2.55-2.59
Cu 0.8051 0.4413 0.8103  7 Ni 2.47-2.55, 2 Cu 2.48-2.53, 3 Al 2.49-2.57
Cu 0.8227 0.9349 0.3101  3 Cu 2.48-2.53, 5 Al 2.50-2.56, 4 Ni 2.55-2.60
Ni 0.0586 0.6922 0.5642  3 Al 2.48-2.51, 7 Cu 2.49-2.55, 2 Ni 2.59-2.62
Ni 0.3139 0.4394 0.8102  3 Al 2.41-2.43, 6 Cu 2.46-2.60, 3 Ni 2.58-2.63
Ni 0.4261 0.8177 0.9396  4 Cu 2.48-2.57, 5 Al 2.49-2.53, 3 Ni 2.58-2.63
Ni 0.5739 0.1823 0.0604  4 Cu 2.48-2.57, 5 Al 2.49-2.53, 3 Ni 2.58-2.63
Ni 0.6861 0.5606 0.1898  3 Al 2.41-2.43, 6 Cu 2.46-2.60, 3 Ni 2.58-2.63
Ni 0.9414 0.3078 0.4358  3 Al 2.48-2.51, 7 Cu 2.49-2.55, 2 Ni 2.59-2.62


First-principles (meta-GGA SCAN) data for SrFeHg2 at its PBEsol-relaxed geometry, as listed in Alexandria.

Properties
SG   P4/mmm, No. 123
E   -3.2412 Ry/atom

Lattice parameters (Å, degrees): 4.5904 4.5904 4.3449 90.00 90.00 90.00
Closest atoms and distances in Å follow each position.
Positions (direct):
Sr 0.0000 0.0000 0.0000  8 Hg 3.16, 4 Fe 3.25
Fe 0.5000 0.5000 0.0000  8 Hg 3.16, 4 Sr 3.25
Hg 0.0000 0.5000 0.5000  4 Fe 3.16, 4 Sr 3.16, 4 Hg 3.25
Hg 0.5000 0.0000 0.5000  4 Fe 3.16, 4 Sr 3.16, 4 Hg 3.25


First-principles (meta-GGA SCAN) data for Sr2PtBr at its PBEsol-relaxed geometry, as listed in Alexandria.

Properties
SG   R-3m, No. 166
Energy above the lowest structure with this stoichiometry   0.000 eV per atom
E   -2.5697 Ry/atom
Raw formation energy   -32.6 kcal/mol of atoms

Lattice parameters (Å, degrees): 8.1368 8.1368 8.1368 30.38 30.38 30.38
Closest atoms and distances in Å follow each position.
Positions (direct):
Sr 0.2377 0.2377 0.2377  3 Pt 2.97, 3 Br 3.32
Sr 0.7623 0.7623 0.7623  3 Pt 2.97, 3 Br 3.32
Pt 0.5000 0.5000 0.5000  6 Sr 2.97
Br 0.0000 0.0000 0.0000  6 Sr 3.32


First-principles (meta-GGA SCAN) data for Tl5Pb4 at its PBEsol-relaxed geometry, as listed in Alexandria.

Properties
SG   P6_3/mcm, No. 193
E   -5.4275 Ry/atom

Lattice parameters (Å, degrees): 9.5346 9.5346 6.6416 90.00 90.00 120.00
Closest atoms and distances in Å follow each position.
Positions (direct):
Tl 0.0000 0.3512 0.2500  5 Pb 3.19-3.34, 4 Tl 3.51
Tl 0.0000 0.6488 0.7500  5 Pb 3.19-3.34, 4 Tl 3.51
Tl 0.3333 0.6667 0.0000  8 Tl 3.32-3.51, 6 Pb 3.67
Tl 0.3333 0.6667 0.5000  8 Tl 3.32-3.51, 6 Pb 3.67
Tl 0.3512 0.0000 0.2500  5 Pb 3.19-3.34, 4 Tl 3.51
Tl 0.3512 0.3512 0.7500  5 Pb 3.19-3.34, 4 Tl 3.51
Tl 0.6488 0.0000 0.7500  5 Pb 3.19-3.34, 4 Tl 3.51
Tl 0.6488 0.6488 0.2500  5 Pb 3.19-3.34, 4 Tl 3.51
Tl 0.6667 0.3333 0.0000  8 Tl 3.32-3.51, 6 Pb 3.67
Tl 0.6667 0.3333 0.5000  8 Tl 3.32-3.51, 6 Pb 3.67
Pb 0.0000 0.0000 0.0000  8 Pb 3.32-3.42
Pb 0.0000 0.0000 0.5000  8 Pb 3.32-3.42
Pb 0.0000 0.3139 0.7500  5 Tl 3.19-3.34, 2 Pb 3.42
Pb 0.0000 0.6861 0.2500  5 Tl 3.19-3.34, 2 Pb 3.42
Pb 0.3139 0.0000 0.7500  5 Tl 3.19-3.34, 2 Pb 3.42
Pb 0.3139 0.3139 0.2500  5 Tl 3.19-3.34, 2 Pb 3.42
Pb 0.6861 0.0000 0.2500  5 Tl 3.19-3.34, 2 Pb 3.42
Pb 0.6861 0.6861 0.7500  5 Tl 3.19-3.34, 2 Pb 3.42


First-principles (meta-GGA SCAN) data for Sc3Ni4Ge4 at its PBEsol-relaxed geometry, as listed in Alexandria.

Properties
SG   Immm, No. 71
E   -1.2827 Ry/atom

Lattice parameters (Å, degrees): 12.5262 12.5262 12.5262 164.85 161.45 24.03
Closest atoms and distances in Å follow each position.
Positions (direct):
Sc 0.0000 0.0000 0.0000  4 Ni 2.85, 8 Ge 2.89
Sc 0.3542 0.8542 0.5000  6 Ge 2.82-2.85, 6 Ni 2.89
Sc 0.6458 0.1458 0.5000  6 Ge 2.82-2.85, 6 Ni 2.89
Ni 0.0950 0.5950 0.5000  3 Ge 2.29-2.31
Ni 0.2576 0.2576 0.0000  4 Ge 2.35-2.40
Ni 0.7424 0.7424 0.0000  4 Ge 2.35-2.40
Ni 0.9050 0.4050 0.5000  3 Ge 2.29-2.31
Ge 0.1895 0.6895 0.5000  5 Ni 2.31-2.40
Ge 0.4488 0.4488 0.0000  2 Ni 2.29, 1 Ge 2.51
Ge 0.5512 0.5512 0.0000  2 Ni 2.29, 1 Ge 2.51
Ge 0.8105 0.3105 0.5000  5 Ni 2.31-2.40


First-principles (meta-GGA SCAN) data for ReTeP at its PBEsol-relaxed geometry, as listed in Alexandria.

Properties
SG   F-43m, No. 216
E   -2.8800 Ry/atom
Raw formation energy   9.2 kcal/mol of atoms

Lattice parameters (Å, degrees): 4.3180 4.3180 4.3180 60.00 60.00 60.00
Closest atoms and distances in Å follow each position.
Positions (direct):
Re 0.0000 0.0000 0.0000  4 Te 2.64, 4 P 2.64
Te 0.7500 0.7500 0.7500  4 Re 2.64
P 0.2500 0.2500 0.2500  4 Re 2.64


First-principles (meta-GGA SCAN) data for Cu3P4S3Br3 at its PBEsol-relaxed geometry, as listed in Alexandria.

Properties
SG   Pnma, No. 62
E   -1.0083 Ry/atom
Raw formation energy   -6.9 kcal/mol of atoms

Lattice parameters (Å, degrees): 18.5540 9.7212 6.4749 90.00 90.00 90.00
Closest atoms and distances in Å follow each position.
Positions (direct):
Cu 0.1344 0.2500 0.0031  1 P 2.15, 1 Br 2.40
Cu 0.1843 0.0189 0.5117  1 P 2.17, 1 Br 2.42
Cu 0.1843 0.4811 0.5117  1 P 2.17, 1 Br 2.42
Cu 0.3157 0.5189 0.0117  1 P 2.17, 1 Br 2.42
Cu 0.3157 0.9811 0.0117  1 P 2.17, 1 Br 2.42
Cu 0.3656 0.7500 0.5031  1 P 2.15, 1 Br 2.40
Cu 0.6344 0.2500 0.4969  1 P 2.15, 1 Br 2.40
Cu 0.6843 0.0189 0.9883  1 P 2.17, 1 Br 2.42
Cu 0.6843 0.4811 0.9883  1 P 2.17, 1 Br 2.42
Cu 0.8157 0.5189 0.4883  1 P 2.17, 1 Br 2.42
Cu 0.8157 0.9811 0.4883  1 P 2.17, 1 Br 2.42
Cu 0.8656 0.7500 0.9969  1 P 2.15, 1 Br 2.40
P 0.0230 0.2500 0.0967  3 S 2.10-2.12, 1 Cu 2.15
P 0.1142 0.6332 0.6526  1 S 2.09, 1 Cu 2.17, 2 P 2.25-2.27
P 0.1142 0.8668 0.6526  1 S 2.09, 1 Cu 2.17, 2 P 2.25-2.27
P 0.1527 0.7500 0.9306  1 S 2.09, 2 P 2.25
P 0.3473 0.2500 0.4306  1 S 2.09, 2 P 2.25
P 0.3858 0.1332 0.1526  1 S 2.09, 1 Cu 2.17, 2 P 2.25-2.27
P 0.3858 0.3668 0.1526  1 S 2.09, 1 Cu 2.17, 2 P 2.25-2.27
P 0.4770 0.7500 0.5967  3 S 2.10-2.12, 1 Cu 2.15
P 0.5230 0.2500 0.4033  3 S 2.10-2.12, 1 Cu 2.15
P 0.6142 0.6332 0.8474  1 S 2.09, 1 Cu 2.17, 2 P 2.25-2.27
P 0.6142 0.8668 0.8474  1 S 2.09, 1 Cu 2.17, 2 P 2.25-2.27
P 0.6527 0.7500 0.5694  1 S 2.09, 2 P 2.25
P 0.8473 0.2500 0.0694  1 S 2.09, 2 P 2.25
P 0.8858 0.1332 0.3474  1 S 2.09, 1 Cu 2.17, 2 P 2.25-2.27
P 0.8858 0.3668 0.3474  1 S 2.09, 1 Cu 2.17, 2 P 2.25-2.27
P 0.9770 0.7500 0.9033  3 S 2.10-2.12, 1 Cu 2.15
S 0.0070 0.5831 0.7152  2 P 2.09-2.10
S 0.0070 0.9169 0.7152  2 P 2.09-2.10
S 0.0620 0.7500 0.1211  2 P 2.09-2.12
S 0.4380 0.2500 0.6211  2 P 2.09-2.12
S 0.4930 0.0831 0.2152  2 P 2.09-2.10
S 0.4930 0.4169 0.2152  2 P 2.09-2.10
S 0.5070 0.5831 0.7848  2 P 2.09-2.10
S 0.5070 0.9169 0.7848  2 P 2.09-2.10
S 0.5620 0.7500 0.3789  2 P 2.09-2.12
S 0.9380 0.2500 0.8789  2 P 2.09-2.12
S 0.9930 0.0831 0.2848  2 P 2.09-2.10
S 0.9930 0.4169 0.2848  2 P 2.09-2.10
Br 0.1534 0.2500 0.6358  3 Cu 2.40-2.45
Br 0.1952 0.0462 0.1417  3 Cu 2.42-2.47
Br 0.1952 0.4538 0.1417  3 Cu 2.42-2.47
Br 0.3048 0.5462 0.6417  3 Cu 2.42-2.47
Br 0.3048 0.9538 0.6417  3 Cu 2.42-2.47
Br 0.3466 0.7500 0.1358  3 Cu 2.40-2.45
Br 0.6534 0.2500 0.8642  3 Cu 2.40-2.45
Br 0.6952 0.0462 0.3583  3 Cu 2.42-2.47
Br 0.6952 0.4538 0.3583  3 Cu 2.42-2.47
Br 0.8048 0.5462 0.8583  3 Cu 2.42-2.47
Br 0.8048 0.9538 0.8583  3 Cu 2.42-2.47
Br 0.8466 0.7500 0.3642  3 Cu 2.40-2.45


| no. | V (Å³ per cell) |
| --- | --- |
| 1 | 119.60 |
| 2 | 189.52 |
| 3 | 187.42 |
| 4 | 194.82 |
| 5 | 105.26 |
| 6 | 181.85 |
| 7 | 91.56 |
| 8 | 122.15 |
| 9 | 522.89 |
| 10 | 163.33 |
| 11 | 56.93 |
| 12 | 1167.87 |